Arrangement w

The following is a PBE with a Hubbard U calculation of a relaxed BeFeI2O crystal, from Alexandria.

It has space group P4/mmm (No. 123), with a = 5.688 Å, b = 5.688 Å, c = 3.694 Å, α = 90.00°, β = 90.00° and γ = 90.00°. Symmetry generates all atoms from Be at (0.000, 0.000, 0.000), Fe at (0.500, 0.500, 0.500), I at (0.000, 0.500, 0.500) and O at (0.500, 0.500, 0.000).

As for the density: 4.6 g cm⁻³. Its total magnetic moment is 4.88 Bohr magnetons per cell. As for the crystal system: tetragonal.


Arrangement x

The following is a PBE with a Hubbard U calculation of a relaxed BeFeI2O crystal, from Alexandria.

It has space group P4/mmm (No. 123), with a = 6.613 Å, b = 6.613 Å, c = 2.945 Å, α = 90.00°, β = 90.00° and γ = 90.00°. Symmetry generates all atoms from Be at (0.000, 0.000, 0.000), Fe at (0.500, 0.500, 0.500), I at (0.000, 0.500, 0.000) and O at (0.000, 0.000, 0.500).

As for the density: 4.3 g cm⁻³. Its total magnetic moment is 4.16 Bohr magnetons per cell. As for the crystal system: tetragonal.


Here is how they stack up, most stable first: arrangement x, arrangement w.